No. 1
VASP calculation (GGA-PBEsol) on an optimized crystal structure of Mg2InBi.

```
Mg2InBi
1.0
6.404 0.000 0.000
3.202 5.768 0.000
3.202 0.000 5.768
Mg Bi In
4 2 2
Direct
0.123 0.002 0.502
0.627 0.998 0.498
0.375 0.502 0.998
0.875 0.498 0.002
0.750 0.500 0.500
0.000 0.000 0.000
0.250 0.500 0.500
0.500 0.000 0.000
```

offset from the most stable computed form = 156 meV/atom
calculated formation energy = 0.06 eV per atom
space-group type = I-42d (122)

No. 2
VASP calculation (GGA-PBEsol) on an optimized crystal structure of GePtS2Cl.

```
GePtS2Cl
1.0
4.463 0.000 0.000
0.000 4.658 0.000
0.000 0.000 4.658
Ge S Pt Cl
1 2 1 1
Direct
0.000 0.000 0.000
0.000 0.000 0.500
0.000 0.500 0.000
0.500 0.500 0.500
0.500 0.000 0.000
```

offset from the most stable computed form = 511 meV/atom
space-group type = P4/mmm (123)
uncorrected formation energy = 763.1 meV per atom

No. 3
VASP calculation (GGA-PBEsol) on an optimized crystal structure of Y3CoAu.

```
Y3CoAu
1.0
5.013 0.000 0.000
0.000 5.013 0.000
0.000 0.000 5.013
Y Co Au
3 1 1
Direct
0.000 0.500 0.000
0.000 0.000 0.500
0.500 0.000 0.000
0.000 0.000 0.000
0.500 0.500 0.500
```

calculated formation energy = -0.14 eV per atom
space-group type = Pm-3m (221)

No. 4
VASP calculation (GGA-PBEsol) on an optimized crystal structure of Mg2InAg.

```
Mg2InAg
1.0
-1.876 -2.442 -0.543
3.759 -2.259 -2.830
1.101 -0.070 5.521
Mg Ag In
2 1 1
Direct
0.005 0.056 0.010
0.233 0.670 0.466
0.496 0.580 0.993
0.765 0.194 0.531
```

calculated formation energy = -0.12 eV per atom
space-group type = Cm (8)

No. 5
VASP calculation (GGA-PBEsol) on an optimized crystal structure of CaCdO2.

```
CaCdO2
1.0
-0.254 -0.359 -3.322
-1.396 -3.015 0.433
-4.281 1.998 0.111
Ca O Cd
1 2 1
Direct
0.500 0.500 0.500
0.500 0.500 0.000
0.000 0.000 0.500
0.000 0.000 0.000
```

space-group type = P4/mmm (123)
uncorrected formation energy = -2039.8 meV per atom

No. 6
VASP calculation (GGA-PBEsol) on an optimized crystal structure of CrHg2Cl.

```
CrHg2Cl
1.0
3.606 0.000 0.000
0.000 4.303 0.000
0.000 0.000 5.592
Cr Hg Cl
1 2 1
Direct
0.000 0.500 0.500
0.000 0.000 0.000
0.500 0.500 0.000
0.500 0.000 0.500
```

offset from the most stable computed form = 147 meV/atom
space-group type = Pmmm (47)
uncorrected formation energy = 189.5 meV per atom

No. 7
VASP calculation (GGA-PBEsol) on an optimized crystal structure of GaB3Cl.

```
GaB3Cl
1.0
-0.522 -3.169 -2.124
-0.725 -2.023 3.195
-3.745 0.833 -0.323
B Ga Cl
3 1 1
Direct
0.000 0.500 0.000
0.000 0.000 0.500
0.500 0.000 0.000
0.500 0.500 0.500
0.000 0.000 0.000
```

space-group type = Pm-3m (221)
uncorrected formation energy = 2161.3 meV per atom

No. 8
VASP calculation (GGA-PBEsol) on an optimized crystal structure of SrCrSi.

```
SrCrSi
1.0
3.193 0.000 0.000
0.000 3.523 0.000
-1.597 -1.761 5.555
Cr Si Sr
1 1 1
Direct
0.054 0.054 0.107
0.617 0.617 0.234
0.329 0.329 0.658
```

space-group type = Imm2 (44)
uncorrected formation energy = 232.2 meV per atom

no.,DFT total energy (eV for the cell shown)
1,-21.0
2,-18.9
3,-32.8
4,-10.2
5,-22.0
6,-12.6
7,-15.6
8,-17.1